{"formula": "NpAg2Pb3Se6", "functional": "PBE", "state": "optimized geometry", "lattice": [[9.362, -2.101, 0.000], [9.362, 2.101, 0.000], [-1.960, 0.000, 8.205]], "species": ["Np", "Ag", "Ag", "Pb", "Pb", "Pb", "Se", "Se", "Se", "Se", "Se", "Se"], "fractional_positions": [[0.000, 0.000, 0.000], [0.328, 0.328, 0.679], [0.672, 0.672, 0.321], [0.000, 0.000, 0.500], [0.326, 0.326, 0.189], [0.674, 0.674, 0.811], [0.153, 0.153, 0.092], [0.169, 0.169, 0.560], [0.492, 0.492, 0.228], [0.508, 0.508, 0.772], [0.831, 0.831, 0.440], [0.847, 0.847, 0.908]], "vol_a3_per_atom": 26.90, "spacegroup": "C2/m (12)", "m_tot_mub_per_fu": 3.09, "raw_formation_energy_mev_per_atom": -501, "dos_at_fermi_per_ev_cell": 10.43, "total_energy_ev_per_cell": -56.693}